# AlAg3, relaxed, DFT PBEsol
data_AlAg3
_chemical_formula_sum 'Al2 Ag6'
_space_group_name_H-M_alt 'P 1'
_space_group_IT_number 1
_cell_length_a 2.8687
_cell_length_b 2.8687
_cell_length_c 15.9192
_cell_angle_alpha 90.00
_cell_angle_beta 90.00
_cell_angle_gamma 90.00
loop_
_space_group_symop_operation_xyz
'x,y,z'
loop_
_atom_site_label
_atom_site_fract_x
_atom_site_fract_y
_atom_site_fract_z
_atom_site_occupancy
Ag1 0.0000 0.5000 0.8107 1
Ag2 0.5000 0.0000 0.6810 1
Ag3 0.0000 0.5000 0.3190 1
Ag4 0.5000 0.0000 0.1893 1
Ag5 0.0000 0.5000 0.0631 1
Ag6 0.5000 0.0000 0.9369 1
Al1 0.5000 0.0000 0.4382 1
Al2 0.0000 0.5000 0.5618 1
# N(E_F): 2.5 states/eV/cell
# V: 131.0 Å³/cell
# Energy of formation from the pure elements: -0.1 eV per formula unit
# Energy: -28.2 eV per cell
# Total moment: 0.000 μB/f.u.